[1]
RbZrTc3 | GGA-PBE | relaxed

Calculated formation energy ... 1920 meV/atom
Space group ... Pm-3m (221)
Density of states at the Fermi level ... 5.5 states/eV per cell
Calculated total energy ... -31.0 eV per cell

Cell and atoms, written as CIF:
```
data_RbZrTc3
_chemical_formula_sum 'Rb1 Zr1 Tc3'
_cell_length_a 5.038
_cell_length_b 5.038
_cell_length_c 5.038
_cell_angle_alpha 90.00
_cell_angle_beta 90.00
_cell_angle_gamma 90.00
_space_group_name_H-M_alt 'P 1'
_space_group_IT_number 1
loop_
_space_group_symop_operation_xyz
'x,y,z'
loop_
_atom_site_label
_atom_site_fract_x
_atom_site_fract_y
_atom_site_fract_z
_atom_site_occupancy
Tc1 0.000 0.000 0.500 1
Tc2 0.000 0.500 0.000 1
Zr1 0.000 0.000 0.000 1
Rb1 0.500 0.500 0.500 1
Tc3 0.500 0.000 0.000 1
```

---

[2]
Ca3Si | GGA-PBE | relaxed

Space group ... I4/mmm (139)
Density of states at the Fermi level ... 3.4 states/eV per cell
Calculated total energy ... -11.6 eV per cell

Cell and atoms, written as CIF:
```
data_Ca3Si
_chemical_formula_sum 'Ca3 Si1'
_cell_length_a 5.886
_cell_length_b 5.886
_cell_length_c 5.886
_cell_angle_alpha 131.06
_cell_angle_beta 131.06
_cell_angle_gamma 71.72
_space_group_name_H-M_alt 'P 1'
_space_group_IT_number 1
loop_
_space_group_symop_operation_xyz
'x,y,z'
loop_
_atom_site_label
_atom_site_fract_x
_atom_site_fract_y
_atom_site_fract_z
_atom_site_occupancy
Ca1 0.750 0.250 0.500 1
Ca2 0.500 0.500 0.000 1
Ca3 0.250 0.750 0.500 1
Si1 0.000 0.000 0.000 1
```

---

[3]
PaTe3Rh | GGA-PBE | relaxed

Space group ... Ama2 (40)
Density of states at the Fermi level ... 0.0 states/eV per cell
Calculated total energy ... -58.7 eV per cell

Cell and atoms, written as CIF:
```
data_PaTe3Rh
_chemical_formula_sum 'Pa2 Te6 Rh2'
_cell_length_a 4.879
_cell_length_b 7.613
_cell_length_c 8.716
_cell_angle_alpha 115.90
_cell_angle_beta 90.00
_cell_angle_gamma 90.00
_space_group_name_H-M_alt 'P 1'
_space_group_IT_number 1
loop_
_space_group_symop_operation_xyz
'x,y,z'
loop_
_atom_site_label
_atom_site_fract_x
_atom_site_fract_y
_atom_site_fract_z
_atom_site_occupancy
Pa1 0.750 0.407 0.268 1
Te1 0.250 0.676 0.468 1
Te2 0.750 0.208 0.532 1
Pa2 0.250 0.139 0.732 1
Rh1 0.250 0.497 0.107 1
Rh2 0.750 0.391 0.893 1
Te3 0.750 0.727 0.163 1
Te4 0.750 0.999 0.847 1
Te5 0.250 0.152 0.153 1
Te6 0.250 0.564 0.837 1
```

---

[4]
CaPuIn2 | GGA-PBE | relaxed

Calculated formation energy ... -255 meV/atom
Space group ... Fm-3m (225)
Density of states at the Fermi level ... 11.7 states/eV per cell
Calculated total energy ... -22.8 eV per cell

Cell and atoms, written as CIF:
```
data_CaPuIn2
_chemical_formula_sum 'Ca1 Pu1 In2'
_cell_length_a 5.422
_cell_length_b 5.422
_cell_length_c 5.422
_cell_angle_alpha 60.00
_cell_angle_beta 60.00
_cell_angle_gamma 60.00
_space_group_name_H-M_alt 'P 1'
_space_group_IT_number 1
loop_
_space_group_symop_operation_xyz
'x,y,z'
loop_
_atom_site_label
_atom_site_fract_x
_atom_site_fract_y
_atom_site_fract_z
_atom_site_occupancy
In1 0.750 0.750 0.750 1
In2 0.250 0.250 0.250 1
Ca1 0.000 0.000 0.000 1
Pu1 0.500 0.500 0.500 1
```

---

[5]
CaLa2Th | GGA-PBE | relaxed

Calculated formation energy ... 206 meV/atom
Space group ... Fm-3m (225)
Density of states at the Fermi level ... 9.0 states/eV per cell
Calculated total energy ... -18.5 eV per cell

Cell and atoms, written as CIF:
```
data_CaLa2Th
_chemical_formula_sum 'Ca1 La2 Th1'
_cell_length_a 5.908
_cell_length_b 5.908
_cell_length_c 5.908
_cell_angle_alpha 60.00
_cell_angle_beta 60.00
_cell_angle_gamma 60.00
_space_group_name_H-M_alt 'P 1'
_space_group_IT_number 1
loop_
_space_group_symop_operation_xyz
'x,y,z'
loop_
_atom_site_label
_atom_site_fract_x
_atom_site_fract_y
_atom_site_fract_z
_atom_site_occupancy
Ca1 0.500 0.500 0.500 1
Th1 0.000 0.000 0.000 1
La1 0.250 0.250 0.250 1
La2 0.750 0.750 0.750 1
```

---

[6]
BSe2Br | GGA-PBE | relaxed

Space group ... I-42d (122)
Density of states at the Fermi level ... 8.4 states/eV per cell
Calculated total energy ... -27.9 eV per cell

Cell and atoms, written as CIF:
```
data_BSe2Br
_chemical_formula_sum 'B2 Se4 Br2'
_cell_length_a 6.423
_cell_length_b 6.423
_cell_length_c 6.161
_cell_angle_alpha 58.58
_cell_angle_beta 58.58
_cell_angle_gamma 90.00
_space_group_name_H-M_alt 'P 1'
_space_group_IT_number 1
loop_
_space_group_symop_operation_xyz
'x,y,z'
loop_
_atom_site_label
_atom_site_fract_x
_atom_site_fract_y
_atom_site_fract_z
_atom_site_occupancy
Se1 0.237 0.625 0.250 1
Br1 0.000 0.000 0.000 1
Se2 0.875 0.763 0.750 1
B1 0.500 0.500 0.000 1
Br2 0.750 0.250 0.500 1
Se3 0.375 0.487 0.750 1
Se4 0.513 0.125 0.250 1
B2 0.250 0.750 0.500 1
```

---

[7]
SrCe4S8 | GGA-PBE | relaxed

Space group ... C2/m (12)
Density of states at the Fermi level ... 16.4 states/eV per cell
Calculated total energy ... -83.1 eV per cell

Cell and atoms, written as CIF:
```
data_SrCe4S8
_chemical_formula_sum 'Sr1 Ce4 S8'
_cell_length_a 8.283
_cell_length_b 8.283
_cell_length_c 8.073
_cell_angle_alpha 103.97
_cell_angle_beta 106.02
_cell_angle_gamma 119.72
_space_group_name_H-M_alt 'P 1'
_space_group_IT_number 1
loop_
_space_group_symop_operation_xyz
'x,y,z'
loop_
_atom_site_label
_atom_site_fract_x
_atom_site_fract_y
_atom_site_fract_z
_atom_site_occupancy
S1 0.159 0.494 0.204 1
S2 0.186 0.032 0.218 1
S3 0.312 0.505 0.818 1
Ce1 0.755 0.755 0.000 1
S4 0.711 0.045 0.204 1
S5 0.814 0.968 0.782 1
S6 0.289 0.955 0.796 1
Sr1 0.000 0.500 0.500 1
Ce2 0.279 0.781 0.059 1
Ce3 0.245 0.245 0.000 1
Ce4 0.721 0.219 0.941 1
S7 0.688 0.495 0.182 1
S8 0.841 0.506 0.796 1
```

---

[8]
Cs2KRb | GGA-PBE | relaxed

Calculated formation energy ... 15 meV/atom
Space group ... Cm (8)
Density of states at the Fermi level ... 4.5 states/eV per cell
Calculated total energy ... -3.7 eV per cell

Cell and atoms, written as CIF:
```
data_Cs2KRb
_chemical_formula_sum 'Cs2 K1 Rb1'
_cell_length_a 5.210
_cell_length_b 5.210
_cell_length_c 16.917
_cell_angle_alpha 80.89
_cell_angle_beta 80.89
_cell_angle_gamma 60.07
_space_group_name_H-M_alt 'P 1'
_space_group_IT_number 1
loop_
_space_group_symop_operation_xyz
'x,y,z'
loop_
_atom_site_label
_atom_site_fract_x
_atom_site_fract_y
_atom_site_fract_z
_atom_site_occupancy
Rb1 0.500 0.500 0.500 1
K1 0.667 0.667 0.000 1
Cs1 0.252 0.252 0.243 1
Cs2 0.081 0.081 0.757 1
```

---

[9]
Y2TaW | GGA-PBE | relaxed

Calculated formation energy ... 1173 meV/atom
Space group ... I-42d (122)
Density of states at the Fermi level ... 18.1 states/eV per cell
Calculated total energy ... -66.1 eV per cell

Cell and atoms, written as CIF:
```
data_Y2TaW
_chemical_formula_sum 'Y4 Ta2 W2'
_cell_length_a 8.099
_cell_length_b 8.099
_cell_length_c 6.417
_cell_angle_alpha 50.88
_cell_angle_beta 50.88
_cell_angle_gamma 90.00
_space_group_name_H-M_alt 'P 1'
_space_group_IT_number 1
loop_
_space_group_symop_operation_xyz
'x,y,z'
loop_
_atom_site_label
_atom_site_fract_x
_atom_site_fract_y
_atom_site_fract_z
_atom_site_occupancy
Y1 0.875 0.892 0.750 1
W1 0.000 0.000 0.000 1
Y2 0.108 0.625 0.250 1
Y3 0.375 0.358 0.750 1
Ta1 0.250 0.750 0.500 1
W2 0.750 0.250 0.500 1
Y4 0.642 0.125 0.250 1
Ta2 0.500 0.500 0.000 1
```

---

[10]
MgSc2In | GGA-PBE | relaxed

Calculated formation energy ... -147 meV/atom
Space group ... C2/m (12)
Density of states at the Fermi level ... 3.5 states/eV per cell
Calculated total energy ... -17.6 eV per cell

Cell and atoms, written as CIF:
```
data_MgSc2In
_chemical_formula_sum 'Mg1 Sc2 In1'
_cell_length_a 5.380
_cell_length_b 5.380
_cell_length_c 5.694
_cell_angle_alpha 79.68
_cell_angle_beta 79.68
_cell_angle_gamma 35.89
_space_group_name_H-M_alt 'P 1'
_space_group_IT_number 1
loop_
_space_group_symop_operation_xyz
'x,y,z'
loop_
_atom_site_label
_atom_site_fract_x
_atom_site_fract_y
_atom_site_fract_z
_atom_site_occupancy
Sc1 0.004 0.004 0.996 1
Mg1 0.250 0.250 0.250 1
In1 0.750 0.750 0.750 1
Sc2 0.496 0.496 0.504 1
```

---

[11]
Pr3Sm2DyS6 | GGA-PBE | relaxed

Space group ... C2/m (12)
Density of states at the Fermi level ... 5.4 states/eV per cell
Calculated total energy ... -77.4 eV per cell

Cell and atoms, written as CIF:
```
data_Pr3Sm2DyS6
_chemical_formula_sum 'Pr3 Sm2 Dy1 S6'
_cell_length_a 6.984
_cell_length_b 6.984
_cell_length_c 7.032
_cell_angle_alpha 99.51
_cell_angle_beta 99.51
_cell_angle_gamma 120.15
_space_group_name_H-M_alt 'P 1'
_space_group_IT_number 1
loop_
_space_group_symop_operation_xyz
'x,y,z'
loop_
_atom_site_label
_atom_site_fract_x
_atom_site_fract_y
_atom_site_fract_z
_atom_site_occupancy
S1 0.752 0.752 0.239 1
Pr1 0.500 0.500 0.500 1
Dy1 0.000 0.000 0.000 1
S2 0.079 0.406 0.237 1
Pr2 0.831 0.169 0.500 1
S3 0.248 0.248 0.761 1
S4 0.406 0.079 0.237 1
S5 0.921 0.594 0.763 1
Pr3 0.169 0.831 0.500 1
S6 0.594 0.921 0.763 1
Sm1 0.333 0.667 0.000 1
Sm2 0.667 0.333 0.000 1
```

---

[12]
Ti4AlNi15 | GGA-PBE | relaxed

Calculated formation energy ... -478 meV/atom
Space group ... P4/mmm (123)
Density of states at the Fermi level ... 6.3 states/eV per cell
Calculated total energy ... -131.6 eV per cell

Cell and atoms, written as CIF:
```
data_Ti4AlNi15
_chemical_formula_sum 'Ti4 Al1 Ni15'
_cell_length_a 3.604
_cell_length_b 3.604
_cell_length_c 17.947
_cell_angle_alpha 90.00
_cell_angle_beta 90.00
_cell_angle_gamma 90.00
_space_group_name_H-M_alt 'P 1'
_space_group_IT_number 1
loop_
_space_group_symop_operation_xyz
'x,y,z'
loop_
_atom_site_label
_atom_site_fract_x
_atom_site_fract_y
_atom_site_fract_z
_atom_site_occupancy
Ni1 0.500 0.000 0.299 1
Ni2 0.000 0.500 0.500 1
Ni3 0.500 0.500 0.000 1
Ti1 0.000 0.000 0.804 1
Ni4 0.000 0.500 0.901 1
Ti2 0.000 0.000 0.601 1
Al1 0.000 0.000 0.000 1
Ti3 0.000 0.000 0.399 1
Ti4 0.000 0.000 0.196 1
Ni5 0.000 0.500 0.299 1
Ni6 0.000 0.500 0.099 1
Ni7 0.000 0.500 0.701 1
Ni8 0.500 0.000 0.500 1
Ni9 0.500 0.500 0.600 1
Ni10 0.500 0.500 0.199 1
Ni11 0.500 0.000 0.901 1
Ni12 0.500 0.000 0.701 1
Ni13 0.500 0.000 0.099 1
Ni14 0.500 0.500 0.400 1
Ni15 0.500 0.500 0.801 1
```